(1)
ZnMo | PBE | relaxed

- crystal system = monoclinic
- space group = Pm, No. 6
- formation energy from the elements (meV/atom) = 326
- total magnetic moment (Bohr magnetons per cell) = 0.0

a = 15.8644 Å, b = 5.2752 Å, c = 4.1297 Å
α = 90.00°, β = 90.01°, γ = 131.68°
Last column: nearest neighbours and their distance in Å.
Fractional coordinates of all 16 atoms:
Mo1 0.2793 0.9532 0.5000  7 Zn 2.62-2.91, 2 Mo 2.70
Mo2 0.9875 0.0005 0.9997  3 Zn 2.55-2.71, 2 Mo 2.61
Mo3 0.6510 0.6959 0.0002  6 Mo 2.56-2.86, 3 Zn 2.79-2.85
Mo4 0.4156 0.1040 0.0000  6 Zn 2.67-2.76, 4 Mo 2.70-2.86
Mo5 0.7155 0.0742 0.5002  4 Mo 2.56-2.68, 4 Zn 2.65-2.66
Mo6 0.5387 0.9192 0.0001  4 Mo 2.55-2.71, 5 Zn 2.67-2.85
Mo7 0.9334 0.6139 0.4998  3 Mo 2.61-2.64, 4 Zn 2.68-2.84
Mo8 0.6033 0.2919 0.5001  5 Mo 2.55-2.69, 2 Zn 2.68-2.78
Zn1 0.8419 0.9092 0.5000  6 Mo 2.66-2.96, 2 Zn 2.71
Zn2 0.1948 0.5455 0.0000  4 Zn 2.53-2.61, 4 Mo 2.55-2.69
Zn3 0.3780 0.6933 0.5000  4 Zn 2.52-2.69, 4 Mo 2.68-2.78
Zn4 0.4972 0.5289 0.5001  1 Zn 2.55, 9 Mo 2.65-2.85
Zn5 0.0724 0.6932 0.9998  3 Zn 2.53-2.83, 1 Mo 2.71
Zn6 0.7693 0.4747 0.0002  5 Mo 2.63-2.79, 2 Zn 2.71
Zn7 0.1532 0.1737 0.4999  7 Zn 2.61-2.83, 2 Mo 2.68-2.91
Zn8 0.3021 0.3289 0.0000  3 Zn 2.52-2.61, 3 Mo 2.71-2.74

(2)
Y2SiGeIr | PBE | relaxed

- crystal system = monoclinic
- space group = C2/m, No. 12
- raw total energy (eV/atom) = -7.36
- total magnetic moment (Bohr magnetons per cell) = 0.0

a = 5.7399 Å, b = 5.7399 Å, c = 10.1938 Å
α = 116.49°, β = 116.49°, γ = 43.22°
Last column: nearest neighbours and their distance in Å.
Fractional coordinates of all 10 atoms:
Si1 0.3573 0.3573 0.4338  3 Ir 2.42-2.49, 1 Si 2.67
Si2 0.6427 0.6427 0.5662  3 Ir 2.42-2.49, 1 Si 2.67
Y1 0.0041 0.0041 0.6739  2 Ge 2.90, 4 Ir 3.02-3.13, 4 Si 3.04-3.07
Y2 0.9959 0.9959 0.3261  2 Ge 2.90, 4 Ir 3.02-3.13, 4 Si 3.04-3.07
Y3 0.8164 0.8164 0.8881  1 Si 2.89, 5 Ge 3.05-3.11
Y4 0.1836 0.1836 0.1119  1 Si 2.89, 5 Ge 3.05-3.11
Ge1 0.4811 0.4811 0.1248  1 Ir 2.69, 1 Ge 2.76, 2 Y 2.90
Ge2 0.5189 0.5189 0.8752  1 Ir 2.69, 1 Ge 2.76, 2 Y 2.90
Ir1 0.2691 0.2691 0.6204  3 Si 2.42-2.49, 1 Ge 2.69
Ir2 0.7309 0.7309 0.3796  3 Si 2.42-2.49, 1 Ge 2.69